DFT (GGA-PBE) results for crystalline NaV2Re at its relaxed geometry.

Results
formation energy from the elements	0.66	eV per atom
DOS at the Fermi energy	1.098	states/eV/atom
distance to the lowest polymorph of the same formula	0.0	meV/atom
space group	No. 225

Cell: 6.225 6.225 6.225 Å, 90.00 90.00 90.00°
Positions (direct):
1 Na 0.000 0.000 0.000
2 Na 0.000 0.500 0.500
3 Na 0.500 0.000 0.500
4 Na 0.500 0.500 0.000
5 V 0.250 0.250 0.250
6 V 0.250 0.250 0.750
7 V 0.250 0.750 0.250
8 V 0.250 0.750 0.750
9 V 0.750 0.250 0.250
10 V 0.750 0.250 0.750
11 V 0.750 0.750 0.250
12 V 0.750 0.750 0.750
13 Re 0.000 0.000 0.500
14 Re 0.000 0.500 0.000
15 Re 0.500 0.000 0.000
16 Re 0.500 0.500 0.500